Entry 1:
Compound: Ac8Ir4O
Source: the Alexandria database
Functional: PBE
Structure: optimized geometry

a = 8.600 Å, b = 8.600 Å, c = 8.600 Å
α = 60.00°, β = 60.00°, γ = 60.00°
Sites, in units of the cell vectors:
Ir: 0.376 0.376 0.873
Ir: 0.376 0.376 0.376
Ir: 0.376 0.873 0.376
Ir: 0.873 0.376 0.376
Ac: 0.134 0.134 0.134
Ac: 0.134 0.134 0.599
Ac: 0.626 0.626 0.123
Ac: 0.134 0.599 0.134
Ac: 0.123 0.626 0.626
Ac: 0.626 0.123 0.626
Ac: 0.599 0.134 0.134
Ac: 0.626 0.626 0.626
O: 0.750 0.750 0.750

## Properties
Magnetization = 0.0 μB per formula unit
Formation energy without anion corrections = -0.92 eV per atom
V = 449.8 Å³ per cell



Entry 2:
Compound: KMg2In
Source: the Alexandria database
Functional: PBE
Structure: optimized geometry

a = 11.569 Å, b = 11.569 Å, c = 11.569 Å
α = 17.01°, β = 17.01°, γ = 17.01°
Sites, in units of the cell vectors:
Mg: 0.991 0.991 0.991
Mg: 0.247 0.247 0.247
In: 0.509 0.509 0.509
K: 0.753 0.753 0.753

## Properties
Uncorrected energy = -1.6352 eV/atom
Magnetization = 0.0 μB per formula unit
V = 115.6 Å³ per cell



Entry 3:
Compound: BeCd2Te
Source: the Alexandria database
Functional: PBE
Structure: optimized geometry

a = 5.001 Å, b = 5.001 Å, c = 4.039 Å
α = 90.00°, β = 90.00°, γ = 113.82°
Sites, in units of the cell vectors:
Cd: 0.000 0.000 0.000
Cd: 0.500 0.500 0.000
Te: 0.500 0.000 0.500
Be: 0.000 0.500 0.500

## Properties
Magnetization = 0.0 μB per formula unit
Energy relative to the lowest polymorph listed for this composition = 236 meV per atom
Formation energy without anion corrections = 0.40 eV per atom
V = 92.4 Å³ per cell



Entry 4:
Compound: ZrTcIN2
Source: the Alexandria database
Functional: PBE
Structure: optimized geometry

a = 4.190 Å, b = 4.190 Å, c = 6.035 Å
α = 90.00°, β = 90.00°, γ = 90.00°
Sites, in units of the cell vectors:
Zr: 0.000 0.000 0.000
Tc: 0.500 0.500 0.500
I: 0.000 0.000 0.500
N: 0.000 0.500 0.000
N: 0.500 0.000 0.000

## Properties
Magnetization = 3.6 μB per formula unit
Energy relative to the lowest polymorph listed for this composition = 159 meV per atom
Formation energy without anion corrections = 0.99 eV per atom
V = 106.0 Å³ per cell



Entry 5:
Compound: CeScAsP
Source: the Alexandria database
Functional: PBE
Structure: optimized geometry

a = 3.998 Å, b = 3.998 Å, c = 6.862 Å
α = 73.06°, β = 73.06°, γ = 60.00°
Sites, in units of the cell vectors:
Sc: 0.503 0.503 0.492
P: 0.244 0.244 0.269
Ce: 0.997 0.997 0.009
As: 0.757 0.757 0.730

## Properties
Uncorrected energy = -7.0105 eV/atom
Magnetization = 0.5 μB per formula unit
V = 89.5 Å³ per cell



Entry 6:
Compound: Tl2Zn
Source: the Alexandria database
Functional: PBE
Structure: optimized geometry

a = 5.513 Å, b = 5.513 Å, c = 6.139 Å
α = 90.00°, β = 90.00°, γ = 120.00°
Sites, in units of the cell vectors:
Tl: 0.333 0.667 0.250
Tl: 0.667 0.333 0.750
Tl: 0.000 0.000 0.000
Tl: 0.000 0.000 0.500
Zn: 0.333 0.667 0.750
Zn: 0.667 0.333 0.250

## Properties
Magnetization = 0.0 μB per formula unit
Energy relative to the lowest polymorph listed for this composition = 83 meV per atom
V = 161.6 Å³ per cell